(1)
Re2RuPt | Alexandria via LeMat-Bulk | PBE-GGA | relaxed; total moment = 0.0 μB per formula unit; energy above the lowest structure with this stoichiometry = 0.4464 eV per atom; energy of formation = 0.319 eV/atom; DFT total energy = -9.734 eV per atom; symmetry = F-43m, No. 216
1.0
0.000 3.112 3.112
3.112 0.000 3.112
3.112 3.112 0.000
Re Ru Pt
2 1 1
direct
0.000 0.000 0.000
0.250 0.250 0.250
0.500 0.500 0.500
0.750 0.750 0.750

***

(2)
Ag2Hg2As | Alexandria via LeMat-Bulk | PBE-GGA | relaxed; total moment = 0.0 μB per formula unit; energy above the lowest structure with this stoichiometry = 0.0000 eV per atom; energy of formation = 0.244 eV/atom; DFT total energy = -1.947 eV per atom; symmetry = P4/mbm, No. 127
1.0
8.394 0.000 0.000
0.000 8.394 0.000
0.000 0.000 3.038
Ag Hg As
4 4 2
direct
0.119 0.381 0.000
0.381 0.881 0.000
0.619 0.119 0.000
0.881 0.619 0.000
0.178 0.678 0.500
0.322 0.178 0.500
0.678 0.822 0.500
0.822 0.322 0.500
0.000 0.000 0.500
0.500 0.500 0.500

***

(3)
Fe2BiC | Alexandria via LeMat-Bulk | PBE-GGA | relaxed; total moment = 1.0 μB per formula unit; energy above the lowest structure with this stoichiometry = 0.0000 eV per atom; energy of formation = 0.658 eV/atom; DFT total energy = -6.849 eV per atom; symmetry = I-42d, No. 122
1.0
-2.592 2.592 4.592
2.592 -2.592 4.592
2.592 2.592 -4.592
Fe Bi C
4 2 2
direct
0.375 0.239 0.364
0.761 0.125 0.136
0.875 0.011 0.636
0.989 0.625 0.864
0.250 0.750 0.500
0.500 0.500 0.000
0.000 0.000 0.000
0.750 0.250 0.500

***

(4)
SrCa2Rh | Alexandria via LeMat-Bulk | PBE-GGA | relaxed; total moment = 0.0 μB per formula unit; energy above the lowest structure with this stoichiometry = 0.3564 eV per atom; energy of formation = 0.070 eV/atom; DFT total energy = -3.189 eV per atom; symmetry = F-43m, No. 216
1.0
0.000 3.863 3.863
3.863 0.000 3.863
3.863 3.863 0.000
Sr Ca Rh
1 2 1
direct
0.000 0.000 0.000
0.500 0.500 0.500
0.750 0.750 0.750
0.250 0.250 0.250

***

(5)
Zr2NbSe | Alexandria via LeMat-Bulk | PBE-GGA | relaxed; total moment = 0.0 μB per formula unit; DFT total energy = -7.689 eV per atom; symmetry = R-3m, No. 166
1.0
1.621 0.936 9.502
-1.621 0.936 9.502
0.000 -1.872 9.502
Zr Nb Se
2 1 1
direct
0.096 0.096 0.096
0.904 0.904 0.904
0.000 0.000 0.000
0.500 0.500 0.500

***

(6)
Sb2PdPt9 | Alexandria via LeMat-Bulk | PBE-GGA | relaxed; total moment = 0.0 μB per formula unit; DFT total energy = -5.805 eV per atom; symmetry = P4/mmm, No. 123
1.0
4.016 0.000 0.000
0.000 4.016 0.000
0.000 0.000 12.308
Sb Pd Pt
2 1 9
direct
0.000 0.000 0.182
0.000 0.000 0.818
0.000 0.000 0.500
0.000 0.500 0.000
0.000 0.500 0.338
0.000 0.500 0.662
0.500 0.000 0.000
0.500 0.000 0.338
0.500 0.000 0.662
0.500 0.500 0.162
0.500 0.500 0.500
0.500 0.500 0.838